[1]
Compound: CsPdI5
Source: Alexandria via LeMat-Bulk
Functional: PBE
Structure: optimized geometry

Lattice parameters (Å, degrees): 9.873 9.873 11.566 125.55 125.55 51.23
Sites, in units of the cell vectors:
Cs (0.006, 0.994, 0.750)
Cs (0.994, 0.006, 0.250)
Pd (0.500, 0.500, 0.000)
Pd (0.500, 0.500, 0.500)
I (0.129, 0.609, 0.366)
I (0.129, 0.609, 0.874)
I (0.391, 0.871, 0.134)
I (0.391, 0.871, 0.626)
I (0.489, 0.511, 0.750)
I (0.511, 0.489, 0.250)
I (0.609, 0.129, 0.374)
I (0.609, 0.129, 0.866)
I (0.871, 0.391, 0.126)
I (0.871, 0.391, 0.634)

Properties
DOS(E_F)   11.5 states/eV/cell
Formation energy without anion corrections   -338 kJ/mol of formula units

[2]
Compound: Cs4PdI5
Source: Alexandria via LeMat-Bulk
Functional: PBE
Structure: optimized geometry

Lattice parameters (Å, degrees): 9.052 9.052 9.052 100.91 100.91 128.41
Sites, in units of the cell vectors:
Cs (0.087, 0.702, 0.789)
Cs (0.298, 0.087, 0.384)
Cs (0.702, 0.913, 0.616)
Cs (0.913, 0.298, 0.211)
Pd (0.482, 0.482, 0.000)
I (0.076, 0.076, 0.000)
I (0.270, 0.429, 0.681)
I (0.429, 0.748, 0.159)
I (0.589, 0.270, 0.841)
I (0.748, 0.589, 0.319)

Properties
DOS(E_F)   1.1 states/eV/cell
Formation energy without anion corrections   -1075 kJ/mol of formula units

[3]
Compound: Cs2PdI8
Source: Alexandria via LeMat-Bulk
Functional: PBE
Structure: optimized geometry

Lattice parameters (Å, degrees): 10.102 10.102 8.159 94.48 94.48 42.78
Sites, in units of the cell vectors:
Cs (0.212, 0.212, 0.274)
Cs (0.788, 0.788, 0.726)
Pd (0.500, 0.500, 0.500)
I (0.062, 0.062, 0.903)
I (0.213, 0.213, 0.776)
I (0.370, 0.370, 0.622)
I (0.438, 0.438, 0.203)
I (0.562, 0.562, 0.797)
I (0.630, 0.630, 0.378)
I (0.787, 0.787, 0.224)
I (0.938, 0.938, 0.097)

Properties
DOS(E_F)   7.0 states/eV/cell
Formation energy without anion corrections   -588 kJ/mol of formula units

[4]
Compound: Cs3Pd5I12
Source: Alexandria via LeMat-Bulk
Functional: PBE
Structure: optimized geometry

Lattice parameters (Å, degrees): 16.143 16.143 16.143 109.47 109.47 109.47
Sites, in units of the cell vectors:
Cs (0.125, 0.250, 0.375)
Cs (0.125, 0.375, 0.750)
Cs (0.250, 0.375, 0.125)
Cs (0.250, 0.875, 0.625)
Cs (0.375, 0.125, 0.250)
Cs (0.375, 0.750, 0.125)
Cs (0.625, 0.250, 0.875)
Cs (0.625, 0.875, 0.750)
Cs (0.750, 0.125, 0.375)
Cs (0.750, 0.625, 0.875)
Cs (0.875, 0.625, 0.250)
Cs (0.875, 0.750, 0.625)
Pd (0.000, 0.000, 0.000)
Pd (0.000, 0.000, 0.500)
Pd (0.000, 0.500, 0.000)
Pd (0.000, 0.500, 0.500)
Pd (0.125, 0.750, 0.875)
Pd (0.125, 0.875, 0.250)
Pd (0.250, 0.125, 0.875)
Pd (0.250, 0.625, 0.375)
Pd (0.375, 0.250, 0.625)
Pd (0.375, 0.625, 0.750)
Pd (0.500, 0.000, 0.000)
Pd (0.500, 0.000, 0.500)
Pd (0.500, 0.500, 0.000)
Pd (0.500, 0.500, 0.500)
Pd (0.625, 0.375, 0.250)
Pd (0.625, 0.750, 0.375)
Pd (0.750, 0.375, 0.625)
Pd (0.750, 0.875, 0.125)
Pd (0.875, 0.125, 0.750)
Pd (0.875, 0.250, 0.125)
I (0.003, 0.182, 0.100)
I (0.003, 0.320, 0.903)
I (0.082, 0.682, 0.680)
I (0.082, 0.900, 0.403)
I (0.097, 0.600, 0.418)
I (0.097, 0.997, 0.680)
I (0.100, 0.003, 0.182)
I (0.100, 0.597, 0.918)
I (0.180, 0.182, 0.582)
I (0.180, 0.497, 0.597)
I (0.182, 0.100, 0.003)
I (0.182, 0.582, 0.180)
I (0.318, 0.320, 0.918)
I (0.318, 0.497, 0.400)
I (0.320, 0.903, 0.003)
I (0.320, 0.918, 0.318)
I (0.400, 0.318, 0.497)
I (0.400, 0.582, 0.903)
I (0.403, 0.082, 0.900)
I (0.403, 0.820, 0.503)
I (0.418, 0.097, 0.600)
I (0.418, 0.820, 0.818)
I (0.497, 0.400, 0.318)
I (0.497, 0.597, 0.180)
I (0.503, 0.403, 0.820)
I (0.503, 0.600, 0.682)
I (0.582, 0.180, 0.182)
I (0.582, 0.903, 0.400)
I (0.597, 0.180, 0.497)
I (0.597, 0.918, 0.100)
I (0.600, 0.418, 0.097)
I (0.600, 0.682, 0.503)
I (0.680, 0.082, 0.682)
I (0.680, 0.097, 0.997)
I (0.682, 0.503, 0.600)
I (0.682, 0.680, 0.082)
I (0.818, 0.418, 0.820)
I (0.818, 0.900, 0.997)
I (0.820, 0.503, 0.403)
I (0.820, 0.818, 0.418)
I (0.900, 0.403, 0.082)
I (0.900, 0.997, 0.818)
I (0.903, 0.003, 0.320)
I (0.903, 0.400, 0.582)
I (0.918, 0.100, 0.597)
I (0.918, 0.318, 0.320)
I (0.997, 0.680, 0.097)
I (0.997, 0.818, 0.900)

Properties
DOS(E_F)   65.0 states/eV/cell
Formation energy without anion corrections   -927 kJ/mol of formula units

- Which value of formation energy without anion corrections does entry 4 give?
  -927 kJ/mol of formula units